First-principles (PBE) data for a relaxed structure of CoTcP2, as listed in the Alexandria database.

```
data_CoTcP2
_chemical_formula_sum 'Co2 Tc2 P4'
_cell_length_a 2.9663
_cell_length_b 3.8708
_cell_length_c 8.8603
_cell_angle_alpha 90.00
_cell_angle_beta 90.00
_cell_angle_gamma 90.00
_symmetry_space_group_name_H-M 'I m m 2'
_symmetry_Int_Tables_number 44
_symmetry_space_group_name_Hall 'I 2 -2'
loop_
_atom_site_label
_atom_site_type_symbol
_atom_site_fract_x
_atom_site_fract_y
_atom_site_fract_z
Co1 Co 0.0000 0.0000 0.0000
Tc1 Tc 0.0000 0.5000 0.2149
P1 P 0.0000 0.0000 0.4818
P2 P 0.0000 0.5000 0.6939
```

Results
The value obtained for the calculated formation energy is -0.115 eV/atom. The calculation puts the relative energy among the computed polymorphs at 283 meV/atom. The value obtained for the size of the total moment is 0.00 μB per cell.